P | The following is a DFT calculation (PBE) of a relaxed structure of ScSi2F.

abc: 4.5299 4.5299 4.5299
angles: 60.00 60.00 60.00
With the nearest neighbours (Å) after each atom.
Element x y z (fractional)
Sc 0.5000 0.5000 0.5000  8 Si 2.77
Si 0.2500 0.2500 0.2500  4 F 2.77, 4 Sc 2.77
Si 0.7500 0.7500 0.7500  4 F 2.77, 4 Sc 2.77
F 0.0000 0.0000 0.0000  8 Si 2.77


Q | The following is a DFT calculation (PBE) of a relaxed structure of ScSi2F.

abc: 3.3812 3.3812 11.1438
angles: 81.27 81.27 90.00
With the nearest neighbours (Å) after each atom.
Element x y z (fractional)
Sc 0.0000 0.0000 0.0000  4 F 2.39
Sc 0.7500 0.2500 0.5000  4 F 2.39
Si 0.6284 0.1250 0.2500  4 Si 2.37-2.41
Si 0.1216 0.6250 0.2500  4 Si 2.37-2.41
Si 0.3750 0.3716 0.7500  4 Si 2.37-2.41
Si 0.8750 0.8784 0.7500  4 Si 2.37-2.41
F 0.5000 0.5000 0.0000  4 Sc 2.39
F 0.2500 0.7500 0.5000  4 Sc 2.39


Result of the stability comparison: P is the least stable of them.


P | The following is a DFT calculation (PBE) of a relaxed structure of Sc2SnF.

abc: 4.8608 4.8608 4.8608
angles: 60.00 60.00 60.00
With the nearest neighbours (Å) after each atom.
Element x y z (fractional)
Sc 0.2500 0.2500 0.2500  4 Sn 2.98, 4 F 2.98
Sc 0.7500 0.7500 0.7500  4 Sn 2.98, 4 F 2.98
Sn 0.5000 0.5000 0.5000  8 Sc 2.98
F 0.0000 0.0000 0.0000  8 Sc 2.98


Q | The following is a DFT calculation (PBE) of a relaxed structure of Sc2SnF.

abc: 9.2315 9.2315 9.2315
angles: 20.76 20.76 20.76
With the nearest neighbours (Å) after each atom.
Element x y z (fractional)
Sc 0.9252 0.9252 0.9252  1 F 2.03
Sc 0.0748 0.0748 0.0748  1 F 2.03
Sn 0.5000 0.5000 0.5000  6 Sc 3.14, 6 Sn 3.33
F 0.0000 0.0000 0.0000  2 Sc 2.03


Result of the stability comparison: P is the least stable of them.


P | The following is a DFT calculation (PBE) of a relaxed structure of Sc2SnF.

abc: 4.5063 4.5063 7.0475
angles: 71.35 71.35 60.00
With the nearest neighbours (Å) after each atom.
Element x y z (fractional)
Sc 0.1034 0.1034 0.6899  1 F 2.03
Sc 0.8966 0.8966 0.3101  1 F 2.03
Sn 0.5000 0.5000 0.5000  6 Sc 2.88
F 0.0000 0.0000 0.0000  2 Sc 2.03


Q | The following is a DFT calculation (PBE) of a relaxed structure of Sc2SnF.

abc: 9.3681 9.3681 9.3681
angles: 19.84 19.84 19.84
With the nearest neighbours (Å) after each atom.
Element x y z (fractional)
Sc 0.8947 0.8947 0.8947  3 F 2.51
Sc 0.1053 0.1053 0.1053  3 F 2.51
Sn 0.0000 0.0000 0.0000  2 Sc 2.90, 6 Sn 3.23
F 0.5000 0.5000 0.5000  6 Sc 2.51


Result of the stability comparison: Q is the least stable of them.


P | The following is a DFT calculation (PBE) of a relaxed structure of ScSn3F.

abc: 5.5490 5.5490 5.5490
angles: 90.00 90.00 90.00
With the nearest neighbours (Å) after each atom.
Element x y z (fractional)
Sc 0.0000 0.0000 0.0000  6 Sn 2.77
Sn 0.0000 0.5000 0.0000  2 Sc 2.77
Sn 0.0000 0.0000 0.5000  2 Sc 2.77
Sn 0.5000 0.0000 0.0000  2 Sc 2.77
F 0.5000 0.5000 0.5000  12 Sn 3.92


Q | The following is a DFT calculation (PBE) of a relaxed structure of ScSn3F.

abc: 4.8723 4.8723 4.8723
angles: 90.00 90.00 90.00
With the nearest neighbours (Å) after each atom.
Element x y z (fractional)
Sc 0.5000 0.5000 0.5000  12 Sn 3.45
Sn 0.0000 0.5000 0.0000  2 F 2.44
Sn 0.0000 0.0000 0.5000  2 F 2.44
Sn 0.5000 0.0000 0.0000  2 F 2.44
F 0.0000 0.0000 0.0000  6 Sn 2.44


Result of the stability comparison: P is the least stable of them.


P | The following is a DFT calculation (PBE) of a relaxed structure of ScSnF3.

abc: 4.6562 4.6562 4.6562
angles: 90.00 90.00 90.00
With the nearest neighbours (Å) after each atom.
Element x y z (fractional)
Sc 0.5000 0.5000 0.5000  12 F 3.29
Sn 0.0000 0.0000 0.0000  6 F 2.33
F 0.0000 0.5000 0.0000  2 Sn 2.33
F 0.0000 0.0000 0.5000  2 Sn 2.33
F 0.5000 0.0000 0.0000  2 Sn 2.33


Q | The following is a DFT calculation (PBE) of a relaxed structure of ScSnF3.

abc: 4.3147 4.3147 4.3147
angles: 90.00 90.00 90.00
With the nearest neighbours (Å) after each atom.
Element x y z (fractional)
Sc 0.0000 0.0000 0.0000  6 F 2.16
Sn 0.5000 0.5000 0.5000  12 F 3.05
F 0.0000 0.5000 0.0000  2 Sc 2.16
F 0.0000 0.0000 0.5000  2 Sc 2.16
F 0.5000 0.0000 0.0000  2 Sc 2.16


Result of the stability comparison: P is the least stable of them.


P | The following is a DFT calculation (PBE) of a relaxed structure of SrScF2.

abc: 6.3480 6.3480 6.3480
angles: 37.42 37.42 37.42
With the nearest neighbours (Å) after each atom.
Element x y z (fractional)
Sc 0.0000 0.0000 0.0000  2 F 2.08
Sr 0.5000 0.5000 0.5000  6 F 2.51
F 0.8822 0.8822 0.8822  1 Sc 2.08
F 0.1178 0.1178 0.1178  1 Sc 2.08


Q | The following is a DFT calculation (PBE) of a relaxed structure of SrScF2.

abc: 5.4414 5.4414 6.9328
angles: 66.89 66.89 90.00
With the nearest neighbours (Å) after each atom.
Element x y z (fractional)
Sc 0.5000 0.5000 0.0000  4 F 2.22
Sc 0.2500 0.7500 0.5000  4 F 2.22
Sr 0.0000 0.0000 0.0000  4 F 2.63
Sr 0.7500 0.2500 0.5000  4 F 2.63
F 0.5574 0.1250 0.2500  2 Sc 2.22
F 0.1926 0.6250 0.2500  2 Sc 2.22
F 0.3750 0.4426 0.7500  2 Sc 2.22
F 0.8750 0.8074 0.7500  2 Sc 2.22


R | The following is a DFT calculation (PBE) of a relaxed structure of SrScF2.

abc: 6.7031 6.7031 6.7031
angles: 33.20 33.20 33.20
With the nearest neighbours (Å) after each atom.
Element x y z (fractional)
Sc 0.5000 0.5000 0.5000  6 F 2.29
Sr 0.0000 0.0000 0.0000  2 F 2.57
F 0.8647 0.8647 0.8647  3 Sc 2.29, 3 F 2.51
F 0.1353 0.1353 0.1353  3 Sc 2.29, 3 F 2.51


S | The following is a DFT calculation (PBE) of a relaxed structure of SrScF2.

abc: 4.7291 4.7291 4.7291
angles: 60.00 60.00 60.00
With the nearest neighbours (Å) after each atom.
Element x y z (fractional)
Sc 0.0000 0.0000 0.0000  8 F 2.90
Sr 0.5000 0.5000 0.5000  8 F 2.90
F 0.2500 0.2500 0.2500  4 Sc 2.90, 4 Sr 2.90
F 0.7500 0.7500 0.7500  4 Sc 2.90, 4 Sr 2.90


Result of the stability comparison: S is the least stable of them.


P | The following is a DFT calculation (PBE) of a relaxed structure of SrSc3F.

abc: 4.9167 4.9167 4.9167
angles: 90.00 90.00 90.00
With the nearest neighbours (Å) after each atom.
Element x y z (fractional)
Sc 0.0000 0.5000 0.0000  2 F 2.46
Sc 0.0000 0.0000 0.5000  2 F 2.46
Sc 0.5000 0.0000 0.0000  2 F 2.46
Sr 0.5000 0.5000 0.5000  12 Sc 3.48
F 0.0000 0.0000 0.0000  6 Sc 2.46


Q | The following is a DFT calculation (PBE) of a relaxed structure of SrSc3F.

abc: 5.4268 5.4268 5.4268
angles: 90.00 90.00 90.00
With the nearest neighbours (Å) after each atom.
Element x y z (fractional)
Sc 0.0000 0.5000 0.0000  2 Sr 2.71
Sc 0.0000 0.0000 0.5000  2 Sr 2.71
Sc 0.5000 0.0000 0.0000  2 Sr 2.71
Sr 0.0000 0.0000 0.0000  6 Sc 2.71
F 0.5000 0.5000 0.5000  12 Sc 3.84


Result of the stability comparison: Q is the least stable of them.


P | The following is a DFT calculation (PBE) of a relaxed structure of Sr2ScF.

abc: 7.7484 7.7484 7.1217
angles: 57.04 57.04 90.00
With the nearest neighbours (Å) after each atom.
Element x y z (fractional)
Sc 0.0000 0.0000 0.0000  8 Sr 3.69-4.04
Sc 0.7500 0.2500 0.5000  8 Sr 3.69-4.04
Sr 0.4976 0.1250 0.2500  2 F 2.44
Sr 0.2524 0.6250 0.2500  2 F 2.44
Sr 0.3750 0.5024 0.7500  2 F 2.44
Sr 0.8750 0.7476 0.7500  2 F 2.44
F 0.5000 0.5000 0.0000  4 Sr 2.44
F 0.2500 0.7500 0.5000  4 Sr 2.44


Q | The following is a DFT calculation (PBE) of a relaxed structure of Sr2ScF.

abc: 5.8761 5.8761 5.8761
angles: 60.00 60.00 60.00
With the nearest neighbours (Å) after each atom.
Element x y z (fractional)
Sc 0.5000 0.5000 0.5000  8 Sr 3.60
Sr 0.2500 0.2500 0.2500  4 Sc 3.60, 4 F 3.60
Sr 0.7500 0.7500 0.7500  4 F 3.60, 4 Sc 3.60
F 0.0000 0.0000 0.0000  8 Sr 3.60


Result of the stability comparison: Q is the least stable of them.


P | The following is a DFT calculation (PBE) of a relaxed structure of Sc2TaF.

abc: 4.7724 4.7724 4.7724
angles: 60.00 60.00 60.00
With the nearest neighbours (Å) after each atom.
Element x y z (fractional)
Sc 0.2500 0.2500 0.2500  4 Ta 2.92, 4 F 2.92
Sc 0.7500 0.7500 0.7500  4 Ta 2.92, 4 F 2.92
F 0.0000 0.0000 0.0000  8 Sc 2.92
Ta 0.5000 0.5000 0.5000  8 Sc 2.92


Q | The following is a DFT calculation (PBE) of a relaxed structure of Sc2TaF.

abc: 6.5025 6.5025 5.8548
angles: 56.27 56.27 90.00
With the nearest neighbours (Å) after each atom.
Element x y z (fractional)
Sc 0.5231 0.1250 0.2500  2 F 2.10
Sc 0.2269 0.6250 0.2500  2 F 2.10
Sc 0.3750 0.4769 0.7500  2 F 2.10
Sc 0.8750 0.7731 0.7500  2 F 2.10
F 0.5000 0.5000 0.0000  4 Sc 2.10
F 0.2500 0.7500 0.5000  4 Sc 2.10
Ta 0.0000 0.0000 0.0000  4 Sc 2.95
Ta 0.7500 0.2500 0.5000  4 Sc 2.95


R | The following is a DFT calculation (PBE) of a relaxed structure of Sc2TaF.

abc: 9.0167 9.0167 9.0167
angles: 20.44 20.44 20.44
With the nearest neighbours (Å) after each atom.
Element x y z (fractional)
Sc 0.9220 0.9220 0.9220  1 F 2.06
Sc 0.0780 0.0780 0.0780  1 F 2.06
F 0.0000 0.0000 0.0000  2 Sc 2.06
Ta 0.5000 0.5000 0.5000  6 Sc 2.99, 6 Ta 3.20


Result of the stability comparison: P is the least stable of them.


P | The following is a DFT calculation (PBE) of a relaxed structure of ScTcF2.

abc: 4.2549 4.2549 4.2549
angles: 60.00 60.00 60.00
With the nearest neighbours (Å) after each atom.
Element x y z (fractional)
Sc 0.0000 0.0000 0.0000  8 F 2.61
Tc 0.5000 0.5000 0.5000  8 F 2.61
F 0.2500 0.2500 0.2500  4 Tc 2.61, 4 Sc 2.61
F 0.7500 0.7500 0.7500  4 Sc 2.61, 4 Tc 2.61


Q | The following is a DFT calculation (PBE) of a relaxed structure of ScTcF2.

abc: 4.5376 4.5376 4.5376
angles: 52.93 52.93 52.93
With the nearest neighbours (Å) after each atom.
Element x y z (fractional)
Sc 0.0000 0.0000 0.0000  2 F 2.13
Tc 0.5000 0.5000 0.5000  6 F 2.34
F 0.8173 0.8173 0.8173  1 Sc 2.13, 3 Tc 2.34, 3 F 2.36
F 0.1827 0.1827 0.1827  1 Sc 2.13, 3 Tc 2.34, 3 F 2.36


R | The following is a DFT calculation (PBE) of a relaxed structure of ScTcF2.

abc: 7.6734 7.6734 7.6734
angles: 21.01 21.01 21.01
With the nearest neighbours (Å) after each atom.
Element x y z (fractional)
Sc 0.5000 0.5000 0.5000  6 F 2.24
Tc 0.0000 0.0000 0.0000  2 F 2.20
F 0.9024 0.9024 0.9024  1 Tc 2.20, 3 Sc 2.24
F 0.0976 0.0976 0.0976  1 Tc 2.20, 3 Sc 2.24


Result of the stability comparison: P is the least stable of them.


P | The following is a DFT calculation (PBE) of a relaxed structure of Sc2TeF.

abc: 8.2602 8.2602 8.2602
angles: 25.09 25.09 25.09
With the nearest neighbours (Å) after each atom.
Element x y z (fractional)
Sc 0.8851 0.8851 0.8851  3 F 2.42
Sc 0.1149 0.1149 0.1149  3 F 2.42
Te 0.0000 0.0000 0.0000  2 Sc 2.76
F 0.5000 0.5000 0.5000  6 Sc 2.42


Q | The following is a DFT calculation (PBE) of a relaxed structure of Sc2TeF.

abc: 4.8146 4.8146 4.8146
angles: 60.00 60.00 60.00
With the nearest neighbours (Å) after each atom.
Element x y z (fractional)
Sc 0.2500 0.2500 0.2500  4 Te 2.95, 4 F 2.95
Sc 0.7500 0.7500 0.7500  4 Te 2.95, 4 F 2.95
Te 0.5000 0.5000 0.5000  8 Sc 2.95
F 0.0000 0.0000 0.0000  8 Sc 2.95


R | The following is a DFT calculation (PBE) of a relaxed structure of Sc2TeF.

abc: 5.7379 5.7379 6.9833
angles: 65.74 65.74 90.00
With the nearest neighbours (Å) after each atom.
Element x y z (fractional)
Sc 0.5280 0.1250 0.2500  2 F 2.20
Sc 0.2220 0.6250 0.2500  2 F 2.20
Sc 0.3750 0.4720 0.7500  2 F 2.20
Sc 0.8750 0.7780 0.7500  2 F 2.20
Te 0.0000 0.0000 0.0000  4 Sc 2.84
Te 0.7500 0.2500 0.5000  4 Sc 2.84
F 0.5000 0.5000 0.0000  4 Sc 2.20
F 0.2500 0.7500 0.5000  4 Sc 2.20


Result of the stability comparison: P is the least stable of them.


P | The following is a DFT calculation (PBE) of a relaxed structure of ScTe3F.

abc: 4.9631 4.9631 4.9631
angles: 90.00 90.00 90.00
With the nearest neighbours (Å) after each atom.
Element x y z (fractional)
Sc 0.5000 0.5000 0.5000  12 Te 3.51
Te 0.0000 0.5000 0.0000  2 F 2.48
Te 0.0000 0.0000 0.5000  2 F 2.48
Te 0.5000 0.0000 0.0000  2 F 2.48
F 0.0000 0.0000 0.0000  6 Te 2.48


Q | The following is a DFT calculation (PBE) of a relaxed structure of ScTe3F.

abc: 5.3880 5.3880 5.3880
angles: 90.00 90.00 90.00
With the nearest neighbours (Å) after each atom.
Element x y z (fractional)
Sc 0.0000 0.0000 0.0000  6 Te 2.69
Te 0.0000 0.5000 0.0000  2 Sc 2.69
Te 0.0000 0.0000 0.5000  2 Sc 2.69
Te 0.5000 0.0000 0.0000  2 Sc 2.69
F 0.5000 0.5000 0.5000  12 Te 3.81


Result of the stability comparison: P is the least stable of them.